# 1
Material: ZnCoSbTe2
Method: DFT, GGA-PBE
State: optimized geometry

Cell lengths 5.2465, 5.2465, 4.6935 Å; angles 90.00, 90.00, 90.00 degrees
With the nearest neighbours (Å) after each atom.
Positions (direct):
Zn1 0.0000 0.0000 0.0000  8 Te 3.52, 4 Sb 3.71
Co1 0.5000 0.5000 0.5000  2 Sb 2.35, 4 Te 2.62
Sb1 0.5000 0.5000 0.0000  2 Co 2.35
Te1 0.0000 0.5000 0.5000  2 Co 2.62
Te2 0.5000 0.0000 0.5000  2 Co 2.62

**E above lowest polymorph**: 0.0 meV/atom
**Formation energy (no corrections)**: 414 meV per atom
**Total moment**: 0.00 μB per atom
**Symmetry**: No. 123
**Calculated total energy**: -3.34 eV/atom

---

# 2
Material: ZrCoSbTe2
Method: DFT, GGA-PBE
State: optimized geometry

Cell lengths 5.0666, 5.0666, 4.7885 Å; angles 90.00, 90.00, 90.00 degrees
With the nearest neighbours (Å) after each atom.
Positions (direct):
Zr1 0.0000 0.0000 0.0000  8 Te 3.49, 4 Sb 3.58
Co1 0.5000 0.5000 0.5000  2 Sb 2.39, 4 Te 2.53
Sb1 0.5000 0.5000 0.0000  2 Co 2.39
Te1 0.0000 0.5000 0.5000  2 Co 2.53
Te2 0.5000 0.0000 0.5000  2 Co 2.53

**E above lowest polymorph**: 0.0 meV/atom
**Formation energy (no corrections)**: 296 meV per atom
**Total moment**: 0.00 μB per atom
**Symmetry**: No. 123
**Calculated total energy**: -4.92 eV/atom

---

# 3
Material: ZrCoSbTe2
Method: DFT, GGA-PBE
State: optimized geometry

Cell lengths 5.5421, 5.5421, 5.6007 Å; angles 90.00, 90.00, 90.00 degrees
With the nearest neighbours (Å) after each atom.
Positions (direct):
Zr1 0.0000 0.0000 0.0000  4 Te 2.77, 2 Sb 2.80
Co1 0.5000 0.5000 0.5000  4 Sb 3.92, 8 Te 3.94
Sb1 0.0000 0.0000 0.5000  2 Zr 2.80
Te1 0.0000 0.5000 0.0000  2 Zr 2.77
Te2 0.5000 0.0000 0.0000  2 Zr 2.77

**E above lowest polymorph**: 407.3 meV/atom
**Formation energy (no corrections)**: 703 meV per atom
**Total moment**: 0.54 μB per atom
**Symmetry**: No. 123
**Calculated total energy**: -4.51 eV/atom

---

# 4
Material: Th5CoSb3
Method: DFT, GGA-PBE
State: optimized geometry

Cell lengths 9.4459, 9.4459, 6.5000 Å; angles 90.00, 90.00, 120.00 degrees
With the nearest neighbours (Å) after each atom.
Positions (direct):
Th1 0.0000 0.2413 0.2500  2 Co 2.80
Th2 0.0000 0.7587 0.7500  2 Co 2.80
Th3 0.2413 0.0000 0.2500  2 Co 2.80
Th4 0.2413 0.2413 0.7500  2 Co 2.80
Th5 0.3333 0.6667 0.0000  2 Th 3.25, 6 Sb 3.33
Th6 0.3333 0.6667 0.5000  2 Th 3.25, 6 Sb 3.33
Th7 0.6667 0.3333 0.0000  2 Th 3.25, 6 Sb 3.33
Th8 0.6667 0.3333 0.5000  2 Th 3.25, 6 Sb 3.33
Th9 0.7587 0.0000 0.7500  2 Co 2.80
Th10 0.7587 0.7587 0.2500  2 Co 2.80
Co1 0.0000 0.0000 0.0000  6 Th 2.80
Co2 0.0000 0.0000 0.5000  6 Th 2.80
Sb1 0.0000 0.3939 0.7500  9 Th 3.25-3.56
Sb2 0.0000 0.6061 0.2500  9 Th 3.25-3.56
Sb3 0.3939 0.0000 0.7500  9 Th 3.25-3.56
Sb4 0.3939 0.3939 0.2500  9 Th 3.25-3.56
Sb5 0.6061 0.0000 0.2500  9 Th 3.25-3.56
Sb6 0.6061 0.6061 0.7500  9 Th 3.25-3.56

**Formation energy (no corrections)**: -729 meV per atom
**Total moment**: 0.00 μB per atom
**Symmetry**: No. 193
**Calculated total energy**: -7.01 eV/atom